DFT (PBE) results for La2Tb15Tm2 after structural relaxation.

Cell: 8.7508 8.7508 8.7508 Å, 79.49 79.49 79.49°
Element x y z (fractional)
Tb 0.8442 0.3732 0.3732
Tb 0.3732 0.3732 0.8442
Tb 0.6268 0.1558 0.6268
Tb 0.3045 0.6955 0.0000
Tb 0.0000 0.0000 0.5000
Tm 0.3272 0.3272 0.3272
Tb 0.1558 0.6268 0.6268
Tb 0.0000 0.5000 0.0000
Tb 0.5000 0.0000 0.0000
Tb 0.3732 0.8442 0.3732
La 0.8841 0.8841 0.8841
Tm 0.6728 0.6728 0.6728
La 0.1159 0.1159 0.1159
Tb 0.0000 0.3045 0.6955
Tb 0.3045 0.0000 0.6955
Tb 0.0000 0.6955 0.3045
Tb 0.6955 0.3045 0.0000
Tb 0.6268 0.6268 0.1558
Tb 0.6955 0.0000 0.3045

Its formation energy is 0.30 eV/atom.

DFT (PBE) results for Ca2AcPb after structural relaxation.

Cell: 3.8325 3.8325 10.0053 Å, 90.00 90.00 90.00°
Element x y z (fractional)
Ac 0.5000 0.5000 0.5000
Ca 0.0000 0.0000 0.7997
Pb 0.5000 0.5000 0.0000
Ca 0.0000 0.0000 0.2003

Its formation energy is -0.26 eV/atom. The relative energy among the computed polymorphs comes out at 69 meV/atom.